No. 1
The following is a PBE calculation of an optimized crystal structure of AlCo3, from the Alexandria database.

## Properties
Density of states at the Fermi level in states/eV per cell: 5.90
Calculated formation energy in eV/f.u.: 6.9

Structure (POSCAR):
```
AlCo3
1.0
4.3911 0.0000 0.0000
0.0000 4.3911 0.0000
0.0000 0.0000 4.3911
Al Co
1 3
Direct
0.0000 0.0000 0.0000
0.0000 0.0000 0.5000
0.0000 0.5000 0.0000
0.5000 0.0000 0.0000
```

***

No. 2
The following is a PBE calculation of an optimized crystal structure of Na2TeBr, from the Alexandria database.

## Properties
Distance to the lowest polymorph of the same formula in eV/atom: 0.228
Formation energy without anion corrections in eV/f.u.: -3.1
Density of states at the Fermi level in states/eV per cell: 3.63

Structure (POSCAR):
```
Na2TeBr
1.0
0.0000 3.8524 3.8524
3.8524 0.0000 3.8524
3.8524 3.8524 0.0000
Na Te Br
2 1 1
Direct
0.2500 0.2500 0.2500
0.7500 0.7500 0.7500
0.0000 0.0000 0.0000
0.5000 0.5000 0.5000
```

***

No. 3
The following is a PBE calculation of an optimized crystal structure of SrZrAs2, from the Alexandria database.

## Properties
Distance to the lowest polymorph of the same formula in eV/atom: 1.243
Density of states at the Fermi level in states/eV per cell: 2.17
Calculated formation energy in eV/f.u.: 0.4

Structure (POSCAR):
```
SrZrAs2
1.0
1.8774 1.0839 9.8730
-1.8774 1.0839 9.8730
0.0000 -2.1679 9.8730
Sr Zr As
1 1 2
Direct
0.0000 0.0000 0.0000
0.7807 0.7807 0.7807
0.2580 0.2580 0.2580
0.4955 0.4955 0.4955
```

***

No. 4
The following is a PBE calculation of an optimized crystal structure of CeSmTlRh, from the Alexandria database.

## Properties
Density of states at the Fermi level in states/eV per cell: 7.96
Calculated formation energy in eV/f.u.: -1.4

Structure (POSCAR):
```
CeSmTlRh
1.0
0.0000 3.6950 3.6950
3.6950 0.0000 3.6950
3.6950 3.6950 0.0000
Ce Sm Tl Rh
1 1 1 1
Direct
0.0000 0.0000 0.0000
0.5000 0.5000 0.5000
0.7500 0.7500 0.7500
0.2500 0.2500 0.2500
```

***

No. 5
The following is a PBE calculation of an optimized crystal structure of TbNd2Dy3Te6, from the Alexandria database.

## Properties
Formation energy without anion corrections in eV/f.u.: -16.0
Density of states at the Fermi level in states/eV per cell: 6.42

Structure (POSCAR):
```
TbNd2Dy3Te6
1.0
9.6275 -2.1848 0.0000
9.6275 2.1848 0.0000
-2.1303 0.0000 8.6225
Tb Nd Dy Te
1 2 3 6
Direct
0.0000 0.0000 0.0000
0.3310 0.3310 0.6633
0.6690 0.6690 0.3367
0.0000 0.0000 0.5000
0.3292 0.3292 0.1652
0.6708 0.6708 0.8348
0.1627 0.1627 0.5903
0.1650 0.1650 0.0749
0.4965 0.4965 0.2491
0.5035 0.5035 0.7509
0.8350 0.8350 0.9251
0.8373 0.8373 0.4097
```

***

No. 6
The following is a PBE calculation of an optimized crystal structure of Ho6TeRu2, from the Alexandria database.

## Properties
Distance to the lowest polymorph of the same formula in eV/atom: 0.037
Formation energy without anion corrections in eV/f.u.: -4.1
Density of states at the Fermi level in states/eV per cell: 8.83

Structure (POSCAR):
```
Ho6TeRu2
1.0
7.0446 -1.9636 0.0000
7.0446 1.9636 0.0000
-1.7518 0.0000 8.9195
Ho Te Ru
6 1 2
Direct
0.0323 0.0323 0.3437
0.2441 0.2441 0.6537
0.3531 0.3531 0.0908
0.6469 0.6469 0.9092
0.7559 0.7559 0.3463
0.9677 0.9677 0.6563
0.0000 0.0000 0.0000
0.3935 0.3935 0.4186
0.6065 0.6065 0.5814
```

***

No. 7
The following is a PBE calculation of an optimized crystal structure of Li2PuGeAu4, from the Alexandria database.

## Properties
Density of states at the Fermi level in states/eV per cell: 19.13
Calculated formation energy in eV/f.u.: -2.8

Structure (POSCAR):
```
Li2PuGeAu4
1.0
2.2566 1.3029 8.7402
-2.2566 1.3029 8.7402
0.0000 -2.6057 8.7402
Li Pu Ge Au
2 1 1 4
Direct
0.2356 0.2356 0.2356
0.7644 0.7644 0.7644
0.0000 0.0000 0.0000
0.5000 0.5000 0.5000
0.1245 0.1245 0.1245
0.3955 0.3955 0.3955
0.6045 0.6045 0.6045
0.8755 0.8755 0.8755
```

***

No. 8
The following is a PBE calculation of an optimized crystal structure of Sc3SbH, from the Alexandria database.

## Properties
Distance to the lowest polymorph of the same formula in eV/atom: 0.019
Density of states at the Fermi level in states/eV per cell: 10.59

Structure (POSCAR):
```
Sc3SbH
1.0
6.9280 0.0000 0.0000
0.0000 4.2436 0.0000
-2.6030 0.0000 6.4682
Sc Sb H
6 2 2
Direct
0.1106 0.2500 0.4245
0.1582 0.2500 0.9391
0.3711 0.7500 0.3109
0.6289 0.2500 0.6891
0.8418 0.7500 0.0609
0.8894 0.7500 0.5755
0.3638 0.7500 0.7559
0.6362 0.2500 0.2441
0.0532 0.7500 0.3553
0.9468 0.2500 0.6447
```

***

No. 9
The following is a PBE calculation of an optimized crystal structure of CeSiPt3, from the Alexandria database.

## Properties
Distance to the lowest polymorph of the same formula in eV/atom: 0.000
Formation energy without anion corrections in eV/f.u.: -5.4
Density of states at the Fermi level in states/eV per cell: 4.40

Structure (POSCAR):
```
CeSiPt3
1.0
-2.0274 2.0274 5.5645
2.0274 -2.0274 5.5645
2.0274 2.0274 -5.5645
Ce Si Pt
1 1 3
Direct
0.0000 0.0000 0.0000
0.3670 0.3670 0.0000
0.2507 0.7507 0.5000
0.5752 0.5752 0.0000
0.7507 0.2507 0.5000
```

***

No. 10
The following is a PBE calculation of an optimized crystal structure of ZrTlTc, from the Alexandria database.

## Properties
Distance to the lowest polymorph of the same formula in eV/atom: 0.437
Density of states at the Fermi level in states/eV per cell: 2.39
Calculated formation energy in eV/f.u.: 1.3

Structure (POSCAR):
```
ZrTlTc
1.0
0.0000 3.2520 3.2520
3.2520 0.0000 3.2520
3.2520 3.2520 0.0000
Zr Tl Tc
1 1 1
Direct
0.0000 0.0000 0.0000
0.5000 0.5000 0.5000
0.2500 0.2500 0.2500
```

***

No. 11
The following is a PBE calculation of an optimized crystal structure of TbTh4Ge5, from the Alexandria database.

## Properties
Density of states at the Fermi level in states/eV per cell: 4.28
Calculated formation energy in eV/f.u.: -7.6

Structure (POSCAR):
```
TbTh4Ge5
1.0
-2.1360 3.0272 10.6935
2.1360 -3.0272 10.6935
2.1360 3.0272 -10.6935
Tb Th Ge
1 4 5
Direct
0.0000 0.0000 0.0000
0.1983 0.1983 0.0000
0.4010 0.4010 0.0000
0.5990 0.5990 0.0000
0.8017 0.8017 0.0000
0.0978 0.5978 0.5000
0.2997 0.7997 0.5000
0.5000 0.0000 0.5000
0.7003 0.2003 0.5000
0.9022 0.4022 0.5000
```

***

No. 12
The following is a PBE calculation of an optimized crystal structure of Sr2Li5Au4, from the Alexandria database.

## Properties
Density of states at the Fermi level in states/eV per cell: 5.18
Calculated formation energy in eV/f.u.: -5.5

Structure (POSCAR):
```
Sr2Li5Au4
1.0
0.0000 4.9899 8.0402
2.9789 0.0000 8.0402
2.9789 4.9899 0.0000
Sr Li Au
2 5 4
Direct
0.1456 0.1456 0.8544
0.8544 0.8544 0.1456
0.0000 0.0000 0.5000
0.2500 0.2500 0.2500
0.5000 0.5000 0.0000
0.5000 0.5000 0.5000
0.7500 0.7500 0.7500
0.2169 0.5193 0.4807
0.4807 0.7831 0.2169
0.5193 0.2169 0.7831
0.7831 0.4807 0.5193
```

***

No. 13
The following is a PBE calculation of an optimized crystal structure of KCd4Pb8, from the Alexandria database.

## Properties
Density of states at the Fermi level in states/eV per cell: 6.99
Calculated formation energy in eV/f.u.: -0.2

Structure (POSCAR):
```
KCd4Pb8
1.0
-5.7333 5.7333 3.0288
5.7333 -5.7333 3.0288
5.7333 5.7333 -3.0288
K Cd Pb
1 4 8
Direct
0.0000 0.0000 0.0000
0.0000 0.0000 0.5000
0.0000 0.5000 0.0000
0.5000 0.0000 0.0000
0.5000 0.5000 0.5000
0.0000 0.3532 0.3532
0.0000 0.6468 0.6468
0.2826 0.5000 0.7826
0.3532 0.0000 0.3532
0.5000 0.2826 0.7826
0.5000 0.7174 0.2174
0.6468 0.0000 0.6468
0.7174 0.5000 0.2174
```

***

No. 14
The following is a PBE calculation of an optimized crystal structure of Y2HOs, from the Alexandria database.

## Properties
Distance to the lowest polymorph of the same formula in eV/atom: 0.522
Density of states at the Fermi level in states/eV per cell: 3.92

Structure (POSCAR):
```
Y2HOs
1.0
1.5964 0.9217 8.1936
-1.5964 0.9217 8.1936
0.0000 -1.8434 8.1936
Y H Os
2 1 1
Direct
0.1049 0.1049 0.1049
0.8951 0.8951 0.8951
0.5000 0.5000 0.5000
0.0000 0.0000 0.0000
```

***

No. 15
The following is a PBE calculation of an optimized crystal structure of IrPt2, from the Alexandria database.

## Properties
Distance to the lowest polymorph of the same formula in eV/atom: 0.244
Density of states at the Fermi level in states/eV per cell: 10.73
Calculated formation energy in eV/f.u.: 0.9

Structure (POSCAR):
```
IrPt2
1.0
4.4665 0.0000 0.0000
-2.2333 3.8681 0.0000
0.0000 0.0000 5.4551
Ir Pt
2 4
Direct
0.3333 0.6667 0.2500
0.6667 0.3333 0.7500
0.0000 0.0000 0.0000
0.0000 0.0000 0.5000
0.3333 0.6667 0.7500
0.6667 0.3333 0.2500
```

***

No. 16
The following is a PBE calculation of an optimized crystal structure of BaZnGaSb2, from the Alexandria database.

## Properties
Formation energy without anion corrections in eV/f.u.: -1.4
Density of states at the Fermi level in states/eV per cell: 4.95

Structure (POSCAR):
```
BaZnGaSb2
1.0
2.9609 -7.4865 0.0000
2.9609 7.4865 0.0000
0.0000 0.0000 6.9608
Ba Zn Ga Sb
2 2 2 4
Direct
0.2500 0.7500 0.7600
0.7500 0.2500 0.2400
0.2500 0.2500 0.5000
0.7500 0.7500 0.5000
0.0000 0.0000 0.0000
0.5000 0.5000 0.0000
0.1226 0.8774 0.2824
0.3774 0.6226 0.2824
0.6226 0.3774 0.7176
0.8774 0.1226 0.7176
```

***

No. 17
The following is a PBE calculation of an optimized crystal structure of SrTcMo, from the Alexandria database.

## Properties
Distance to the lowest polymorph of the same formula in eV/atom: 0.146
Density of states at the Fermi level in states/eV per cell: 2.25
Calculated formation energy in eV/f.u.: 1.5

Structure (POSCAR):
```
SrTcMo
1.0
6.2095 -1.6941 0.0000
6.2095 1.6941 0.0000
-5.4700 0.0000 6.6732
Sr Tc Mo
2 2 2
Direct
0.0774 0.0774 0.2800
0.9226 0.9226 0.7200
0.3813 0.3813 0.3410
0.6187 0.6187 0.6590
0.2803 0.2803 0.9169
0.7197 0.7197 0.0831
```

***

No. 18
The following is a PBE calculation of an optimized crystal structure of KSc2Ag, from the Alexandria database.

## Properties
Density of states at the Fermi level in states/eV per cell: 9.11
Calculated formation energy in eV/f.u.: 3.1

Structure (POSCAR):
```
KSc2Ag
1.0
-2.9011 2.9011 9.5605
2.9011 -2.9011 9.5605
2.9011 2.9011 -9.5605
K Sc Ag
2 4 2
Direct
0.3750 0.6250 0.7500
0.6250 0.3750 0.2500
0.0000 0.0000 0.0000
0.0000 0.0000 0.5000
0.0000 0.5000 0.0000
0.5000 0.0000 0.5000
0.1250 0.8750 0.2500
0.8750 0.1250 0.7500
```